Entry 1:
# PBE Th3Cu3Bi4, relaxed
# Calculated total energy (eV for the cell shown): -107.3
# ΔH_f (0 K) (meV/atom): -358
# SG: I-43d, No. 220
# Total magnetic moment (Bohr magnetons per cell): 0.00
# Crystal system: cubic
data_Th3Cu3Bi4
_cell_length_a 8.679
_cell_length_b 8.679
_cell_length_c 8.679
_cell_angle_alpha 109.47
_cell_angle_beta 109.47
_cell_angle_gamma 109.47
_space_group_name_H-M_alt 'P 1'
_space_group_IT_number 1
_space_group_name_Hall 'P 1'
loop_
_atom_site_label
_atom_site_fract_x
_atom_site_fract_y
_atom_site_fract_z
_atom_site_occupancy
Th1 0.625 0.750 0.875 1
Th2 0.875 0.250 0.625 1
Th3 0.125 0.375 0.250 1
Th4 0.375 0.125 0.750 1
Th5 0.250 0.875 0.125 1
Th6 0.750 0.625 0.375 1
Cu1 0.125 0.750 0.375 1
Cu2 0.375 0.250 0.125 1
Cu3 0.625 0.875 0.250 1
Cu4 0.875 0.625 0.750 1
Cu5 0.250 0.375 0.625 1
Cu6 0.750 0.125 0.875 1
Bi1 0.000 0.000 0.329 1
Bi2 0.500 0.329 0.500 1
Bi3 0.671 0.171 0.171 1
Bi4 0.000 0.000 0.829 1
Bi5 0.829 0.500 0.000 1
Bi6 0.500 0.829 0.500 1
Bi7 0.329 0.500 0.000 1
Bi8 0.171 0.671 0.671 1

Entry 2:
# PBE MoRhBr2, relaxed
# Calculated total energy (eV for the cell shown): -18.6
# Uncorrected formation energy (meV/atom): 732
# SG: P4/mmm, No. 123
# Total magnetic moment (Bohr magnetons per cell): 0.01
# Crystal system: tetragonal
data_MoRhBr2
_cell_length_a 3.233
_cell_length_b 3.233
_cell_length_c 6.527
_cell_angle_alpha 90.00
_cell_angle_beta 90.00
_cell_angle_gamma 90.00
_space_group_name_H-M_alt 'P 1'
_space_group_IT_number 1
_space_group_name_Hall 'P 1'
loop_
_atom_site_label
_atom_site_fract_x
_atom_site_fract_y
_atom_site_fract_z
_atom_site_occupancy
Mo1 0.500 0.500 0.250 1
Rh1 0.500 0.500 0.750 1
Br1 0.000 0.000 0.009 1
Br2 0.000 0.000 0.491 1

Entry 3:
# PBE YMo, relaxed
# Calculated total energy (eV for the cell shown): -113.8
# ΔH_f (0 K) (meV/atom): 1536
# SG: I-43m, No. 217
# Total magnetic moment (Bohr magnetons per cell): 0.00
# Crystal system: cubic
data_YMo
_cell_length_a 8.455
_cell_length_b 8.455
_cell_length_c 8.455
_cell_angle_alpha 90.00
_cell_angle_beta 90.00
_cell_angle_gamma 90.00
_space_group_name_H-M_alt 'P 1'
_space_group_IT_number 1
_space_group_name_Hall 'P 1'
loop_
_atom_site_label
_atom_site_fract_x
_atom_site_fract_y
_atom_site_fract_z
_atom_site_occupancy
Y1 0.217 0.217 0.217 1
Y2 0.217 0.783 0.783 1
Y3 0.783 0.217 0.783 1
Y4 0.783 0.783 0.217 1
Y5 0.717 0.717 0.717 1
Y6 0.717 0.283 0.283 1
Y7 0.283 0.717 0.283 1
Y8 0.283 0.283 0.717 1
Mo1 0.393 0.393 0.393 1
Mo2 0.393 0.607 0.607 1
Mo3 0.607 0.393 0.607 1
Mo4 0.607 0.607 0.393 1
Mo5 0.893 0.893 0.893 1
Mo6 0.893 0.107 0.107 1
Mo7 0.107 0.893 0.107 1
Mo8 0.107 0.107 0.893 1

Entry 4:
# PBE Cd6AgRh5, relaxed
# Calculated total energy (eV for the cell shown): -46.2
# ΔH_f (0 K) (meV/atom): -90
# SG: Cmmm, No. 65
# Total magnetic moment (Bohr magnetons per cell): 0.00
# Crystal system: orthorhombic
data_Cd6AgRh5
_cell_length_a 4.571
_cell_length_b 6.566
_cell_length_c 7.232
_cell_angle_alpha 90.00
_cell_angle_beta 71.58
_cell_angle_gamma 90.00
_space_group_name_H-M_alt 'P 1'
_space_group_IT_number 1
_space_group_name_Hall 'P 1'
loop_
_atom_site_label
_atom_site_fract_x
_atom_site_fract_y
_atom_site_fract_z
_atom_site_occupancy
Rh1 0.665 0.500 0.670 1
Rh2 0.336 0.000 0.328 1
Rh3 0.000 0.500 0.000 1
Rh4 0.664 0.000 0.672 1
Rh5 0.335 0.500 0.330 1
Ag1 0.000 0.000 0.000 1
Cd1 0.830 0.747 0.340 1
Cd2 0.830 0.253 0.340 1
Cd3 0.500 0.257 0.000 1
Cd4 0.500 0.743 0.000 1
Cd5 0.170 0.747 0.660 1
Cd6 0.170 0.253 0.660 1

Entry 5:
# PBE TbGdYSc, relaxed
# Calculated total energy (eV for the cell shown): -31.0
# ΔH_f (0 K) (meV/atom): 124
# SG: F-43m, No. 216
# Total magnetic moment (Bohr magnetons per cell): 8.30
# Crystal system: cubic
data_TbGdYSc
_cell_length_a 5.562
_cell_length_b 5.562
_cell_length_c 5.562
_cell_angle_alpha 60.00
_cell_angle_beta 60.00
_cell_angle_gamma 60.00
_space_group_name_H-M_alt 'P 1'
_space_group_IT_number 1
_space_group_name_Hall 'P 1'
loop_
_atom_site_label
_atom_site_fract_x
_atom_site_fract_y
_atom_site_fract_z
_atom_site_occupancy
Y1 0.250 0.250 0.250 1
Sc1 0.500 0.500 0.500 1
Gd1 0.750 0.750 0.750 1
Tb1 0.000 0.000 0.000 1

Entry 6:
# PBE YNb2H, relaxed
# Calculated total energy (eV for the cell shown): -24.7
# SG: Fm-3m, No. 225
# Total magnetic moment (Bohr magnetons per cell): 0.00
# Crystal system: cubic
data_YNb2H
_cell_length_a 4.658
_cell_length_b 4.658
_cell_length_c 4.658
_cell_angle_alpha 60.00
_cell_angle_beta 60.00
_cell_angle_gamma 60.00
_space_group_name_H-M_alt 'P 1'
_space_group_IT_number 1
_space_group_name_Hall 'P 1'
loop_
_atom_site_label
_atom_site_fract_x
_atom_site_fract_y
_atom_site_fract_z
_atom_site_occupancy
Y1 0.500 0.500 0.500 1
H1 0.000 0.000 0.000 1
Nb1 0.250 0.250 0.250 1
Nb2 0.750 0.750 0.750 1